# BPb2Br | Alexandria via LeMat-Bulk | PBE | relaxed
# Excess energy over the best structure of this formula in the dataset, eV/f.u.: 0.00
# Spin magnetization, μB/f.u.: 0.0
# ΔE_f (raw), meV per atom: 472
# Calculated volume, A^3/atom: 29.139
# Energy, Ry/atom: -0.255
data_BPb2Br
_symmetry_space_group_name_H-M 'P 1'
_symmetry_Int_Tables_number 1
_symmetry_space_group_name_Hall 'P 1'
_cell_length_a 7.206
_cell_length_b 7.206
_cell_length_c 6.791
_cell_angle_alpha 57.96
_cell_angle_beta 57.96
_cell_angle_gamma 90.00
loop_
_atom_site_label
_atom_site_fract_x
_atom_site_fract_y
_atom_site_fract_z
B1 0.500 0.500 0.000
Pb1 0.375 0.471 0.750
Br1 0.750 0.250 0.500
Br2 0.000 0.000 0.000
Pb2 0.529 0.125 0.250
Pb3 0.875 0.779 0.750
B2 0.250 0.750 0.500
Pb4 0.221 0.625 0.250